1.
DFT (SCAN) results for Ta2CoPt at its PBEsol-relaxed geometry.

Geometry as POSCAR:
```
Ta2CoPt
1.0
-1.7925 2.5001 3.1187
0.1770 -1.2631 4.1908
2.5643 2.1479 2.8286
Pt Ta Co
1 2 1
direct
0.2500 0.2500 0.2500
0.7500 0.7500 0.7500
0.0000 0.0000 0.0000
0.5000 0.5000 0.5000
```

Calculated values
space group	No. 216



2.
DFT (SCAN) results for ScMn2Mo at its PBEsol-relaxed geometry.

Geometry as POSCAR:
```
ScMn2Mo
1.0
3.0294 0.0000 0.0000
0.0000 4.0747 0.0000
0.0000 0.0000 4.4635
Mo Mn Sc
1 2 1
direct
0.5000 0.5000 0.0000
0.0000 0.0000 0.0000
0.5000 0.0000 0.5000
0.0000 0.5000 0.5000
```

Calculated values
space group	No. 47



Number 1: energy of formation from the pure elements -0.14 eV/atom, total magnetic moment 0.003 μB/cell, DFT total energy -221.24 eV per cell. Number 2: energy of formation from the pure elements 0.21 eV/atom, total magnetic moment 0.814 μB/cell, DFT total energy -84.81 eV per cell.